{
  "formula": "BiBr3F",
  "functional": "GGA-PBE",
  "state": "relaxed",
  "dft_energy_ev_per_atom": -2.478,
  "magmom_total_mub_per_cell": 0.95,
  "dos_ef_per_ev_atom": 2.45,
  "relative_energy_kj_per_mol_fu": 300,
  "lattice_angstrom": [[5.679, 0.000, 0.000], [0.000, 5.679, 0.000], [0.000, 0.000, 5.679]],
  "species": ["Br", "F", "Bi", "Br", "Br"],
  "frac_coords": [[0.500, 0.000, 0.000], [0.500, 0.500, 0.500], [0.000, 0.000, 0.000], [0.000, 0.500, 0.000], [0.000, 0.000, 0.500]]
}

---

{
  "formula": "HoTm5Pb5",
  "functional": "GGA-PBE",
  "state": "relaxed",
  "e_form_ev_per_atom": -0.2170,
  "dft_energy_ev_per_atom": -4.351,
  "magmom_total_mub_per_cell": 0.00,
  "dos_ef_per_ev_atom": 0.74,
  "lattice_angstrom": [[-5.230, 1.709, 2.877], [-1.564, -3.590, -7.412], [0.538, -5.780, 4.412]],
  "species": ["Pb", "Tm", "Tm", "Tm", "Tm", "Tm", "Pb", "Pb", "Pb", "Pb", "Ho"],
  "frac_coords": [[0.832, 0.664, 0.660], [0.336, 0.671, 0.165], [0.657, 0.314, 0.338], [0.343, 0.686, 0.662], [0.664, 0.329, 0.835], [0.000, 0.000, 0.500], [0.169, 0.338, 0.824], [0.500, 0.000, 0.000], [0.168, 0.336, 0.340], [0.831, 0.662, 0.176], [0.000, 0.000, 0.000]]
}

---

{
  "formula": "Ac8HIr3Cl4",
  "functional": "GGA-PBE",
  "state": "relaxed",
  "dft_energy_ev_per_atom": -5.547,
  "magmom_total_mub_per_cell": 0.00,
  "dos_ef_per_ev_atom": 0.55,
  "lattice_angstrom": [[8.620, 0.000, 0.000], [0.000, 9.393, 0.534], [-4.310, -4.307, 6.099]],
  "species": ["Ac", "Ir", "Ac", "Ac", "Ac", "Ir", "Ac", "Cl", "Cl", "Ac", "Ir", "Ac", "H", "Cl", "Ac", "Cl"],
  "frac_coords": [[0.266, 0.298, 0.532], [0.000, 0.500, 0.500], [0.764, 0.298, 0.034], [0.269, 0.298, 0.034], [0.731, 0.702, 0.966], [0.500, 0.500, 0.500], [0.236, 0.702, 0.966], [0.500, 0.000, 0.500], [0.000, 0.000, 0.500], [0.734, 0.702, 0.468], [0.500, 0.500, 0.000], [0.236, 0.702, 0.472], [0.000, 0.500, 0.000], [0.000, 0.000, 0.000], [0.764, 0.298, 0.528], [0.500, 0.000, 0.000]]
}

---

{
  "formula": "Pu12IrRu6",
  "functional": "GGA-PBE",
  "state": "relaxed",
  "e_form_ev_per_atom": 0.0374,
  "dft_energy_ev_per_atom": -12.410,
  "magmom_total_mub_per_cell": 3.78,
  "dos_ef_per_ev_atom": 3.80,
  "lattice_angstrom": [[7.494, 0.696, 0.834], [-0.448, 7.513, 0.834], [-0.448, -0.522, 7.541]],
  "species": ["Pu", "Ru", "Pu", "Pu", "Pu", "Pu", "Ru", "Ru", "Pu", "Pu", "Ru", "Ru", "Pu", "Pu", "Ru", "Pu", "Ir", "Pu", "Pu"],
  "frac_coords": [[0.312, 0.641, 0.213], [0.099, 0.651, 0.493], [0.359, 0.787, 0.688], [0.985, 0.649, 0.875], [0.351, 0.125, 0.015], [0.688, 0.359, 0.787], [0.507, 0.901, 0.349], [0.493, 0.099, 0.651], [0.125, 0.015, 0.351], [0.649, 0.875, 0.985], [0.901, 0.349, 0.507], [0.651, 0.493, 0.099], [0.641, 0.213, 0.312], [0.015, 0.351, 0.125], [0.349, 0.507, 0.901], [0.875, 0.985, 0.649], [0.000, 0.000, 0.000], [0.213, 0.312, 0.641], [0.787, 0.688, 0.359]]
}

---

{
  "formula": "Cs2AuCl7",
  "functional": "GGA-PBE",
  "state": "relaxed",
  "dft_energy_ev_per_atom": -2.716,
  "magmom_total_mub_per_cell": 0.00,
  "dos_ef_per_ev_atom": 0.00,
  "lattice_angstrom": [[7.672, 0.000, 0.000], [0.000, 7.672, 0.000], [3.836, 3.836, 5.315]],
  "species": ["Cs", "Cl", "Cl", "Cl", "Cl", "Au", "Cl", "Cl", "Cs", "Cl"],
  "frac_coords": [[0.250, 0.750, 0.500], [0.222, 0.222, 0.000], [0.500, 0.500, 0.000], [0.231, 0.231, 0.539], [0.769, 0.769, 0.461], [0.000, 0.000, 0.000], [0.778, 0.778, 0.000], [0.222, 0.778, 0.000], [0.750, 0.250, 0.500], [0.778, 0.222, 0.000]]
}

---

{
  "formula": "Nb2CoSn4",
  "functional": "GGA-PBE",
  "state": "relaxed",
  "e_form_ev_per_atom": 0.4713,
  "dft_energy_ev_per_atom": -5.708,
  "magmom_total_mub_per_cell": 0.00,
  "dos_ef_per_ev_atom": 0.86,
  "lattice_angstrom": [[-2.623, -3.879, -1.712], [4.172, -2.721, -0.228], [-0.250, -5.402, 5.361]],
  "species": ["Sn", "Nb", "Sn", "Nb", "Sn", "Co", "Sn"],
  "frac_coords": [[0.000, 0.500, 0.000], [0.601, 0.601, 0.798], [0.187, 0.187, 0.627], [0.399, 0.399, 0.202], [0.813, 0.813, 0.373], [0.000, 0.000, 0.000], [0.500, 0.000, 0.000]]
}

---

{
  "formula": "MgFeTc2",
  "functional": "GGA-PBE",
  "state": "relaxed",
  "e_form_ev_per_atom": 0.2767,
  "dft_energy_ev_per_atom": -7.421,
  "magmom_total_mub_per_cell": 2.27,
  "dos_ef_per_ev_atom": 1.21,
  "lattice_angstrom": [[-0.756, 2.973, 0.849], [-3.262, -1.450, 2.172], [2.504, -0.368, 3.516]],
  "species": ["Tc", "Tc", "Mg", "Fe"],
  "frac_coords": [[0.500, 0.500, 0.000], [0.000, 0.000, 0.000], [0.000, 0.500, 0.500], [0.500, 0.000, 0.500]]
}

---

{
  "formula": "CaCo2Hg",
  "functional": "GGA-PBE",
  "state": "relaxed",
  "e_form_ev_per_atom": 0.4256,
  "dft_energy_ev_per_atom": -3.703,
  "magmom_total_mub_per_cell": 5.06,
  "dos_ef_per_ev_atom": 1.51,
  "lattice_angstrom": [[-1.496, 2.576, -3.157], [-3.987, -0.232, 1.699], [-0.947, 8.624, 4.501]],
  "species": ["Ca", "Hg", "Co", "Hg", "Co", "Co", "Co", "Ca"],
  "frac_coords": [[0.250, 0.750, 0.500], [0.000, 0.000, 0.000], [0.957, 0.625, 0.250], [0.750, 0.250, 0.500], [0.875, 0.043, 0.750], [0.375, 0.207, 0.750], [0.793, 0.125, 0.250], [0.500, 0.500, 0.000]]
}